# 1
Na3Ni2SbO6 | Alexandria | meta-GGA SCAN | PBEsol geometry; density of states at the Fermi level = 0.000 states/eV per cell; M_tot = 4.00 μB/cell; E_tot = -11.685 eV per atom
1.0
2.6491 -4.5875 0.0000
2.6491 4.5875 0.0000
-1.7479 0.0000 5.3028
Na Ni Sb O
3 2 1 6
Direct
0.0000 0.0000 0.0000
0.3241 0.6759 0.0000
0.6759 0.3241 0.0000
0.1661 0.8339 0.5000
0.8339 0.1661 0.5000
0.5000 0.5000 0.5000
0.1094 0.4323 0.2967
0.2456 0.2456 0.7048
0.4323 0.1094 0.2967
0.5677 0.8906 0.7033
0.7544 0.7544 0.2952
0.8906 0.5677 0.7033

=====

# 2
Na4Ni3Sb2O10 | Alexandria | meta-GGA SCAN | PBEsol geometry; density of states at the Fermi level = 0.000 states/eV per cell; M_tot = 5.99 μB/cell; E_tot = -12.319 eV per atom
1.0
2.6270 -7.6379 0.0000
2.6270 7.6379 0.0000
-1.6323 0.0000 5.3866
Na Ni Sb O
4 3 2 10
Direct
0.0942 0.9058 0.0000
0.2993 0.7007 0.0000
0.7007 0.2993 0.0000
0.9058 0.0942 0.0000
0.0000 0.0000 0.5000
0.1996 0.8004 0.5000
0.8004 0.1996 0.5000
0.3965 0.6035 0.5000
0.6035 0.3965 0.5000
0.0732 0.4656 0.2924
0.1349 0.3376 0.6930
0.2770 0.2770 0.3046
0.3376 0.1349 0.6930
0.4656 0.0732 0.2924
0.5344 0.9268 0.7076
0.6624 0.8651 0.3070
0.7230 0.7230 0.6954
0.8651 0.6624 0.3070
0.9268 0.5344 0.7076

=====

# 3
Na2Si4NiO10 | Alexandria | meta-GGA SCAN | PBEsol geometry; density of states at the Fermi level = 0.000 states/eV per cell; M_tot = 3.85 μB/cell; E_tot = -10.146 eV per atom
1.0
6.9701 0.0000 0.0000
-3.2273 6.8512 0.0000
-2.2628 -3.1258 8.9650
Na Si Ni O
4 8 2 20
Direct
0.1596 0.2557 0.4777
0.2429 0.7757 0.9203
0.7571 0.2243 0.0797
0.8404 0.7443 0.5223
0.1042 0.8579 0.2373
0.2598 0.5554 0.3010
0.3118 0.1212 0.7517
0.4132 0.7897 0.6397
0.5868 0.2103 0.3603
0.6882 0.8788 0.2483
0.7402 0.4446 0.6990
0.8958 0.1421 0.7627
0.2460 0.1850 0.0770
0.7540 0.8150 0.9230
0.0650 0.8934 0.0777
0.0776 0.1316 0.6845
0.0864 0.6310 0.2208
0.1528 0.3119 0.2300
0.2479 0.8949 0.6390
0.2899 0.6006 0.4796
0.3473 0.0365 0.3656
0.3839 0.1387 0.9226
0.4480 0.7117 0.7785
0.4905 0.3015 0.7048
0.5095 0.6985 0.2952
0.5520 0.2883 0.2215
0.6161 0.8613 0.0774
0.6527 0.9635 0.6344
0.7101 0.3994 0.5204
0.7521 0.1051 0.3610
0.8472 0.6881 0.7700
0.9136 0.3690 0.7792
0.9224 0.8684 0.3155
0.9350 0.1066 0.9223